No. 1
# YHf2PbC

An optimized crystal structure of YHf2PbC (PBE-GGA, the Alexandria database).

Structure (CIF):
```
data_YHf2PbC
_chemical_formula_sum 'Y1 Hf2 Pb1 C1'
_cell_length_a 4.467
_cell_length_b 4.467
_cell_length_c 5.581
_cell_angle_alpha 90.00
_cell_angle_beta 90.00
_cell_angle_gamma 90.00
_symmetry_space_group_name_H-M 'P 4/m m m'
_symmetry_Int_Tables_number 123
_symmetry_space_group_name_Hall '-P 4 2'
loop_
_atom_site_label
_atom_site_fract_x
_atom_site_fract_y
_atom_site_fract_z
Y1 0.000 0.000 0.000
Hf1 0.000 0.500 0.500
Pb1 0.500 0.500 0.000
C1 0.500 0.500 0.500
```

Summary:
Electronic total energy in eV per cell: -39.16
Theoretical density in Mg/m³: 9.9

---

No. 2
# HfZrPbC

An optimized crystal structure of HfZrPbC (PBE-GGA, the Alexandria database).

Structure (CIF):
```
data_HfZrPbC
_chemical_formula_sum 'Hf3 Zr3 Pb3 C3'
_cell_length_a 3.3081
_cell_length_b 3.3081
_cell_length_c 25.2472
_cell_angle_alpha 90.00
_cell_angle_beta 90.00
_cell_angle_gamma 120.00
_symmetry_space_group_name_H-M 'R 3 m'
_symmetry_Int_Tables_number 160
_symmetry_space_group_name_Hall 'R 3 -2"'
loop_
_atom_site_label
_atom_site_fract_x
_atom_site_fract_y
_atom_site_fract_z
Hf1 0.0000 0.0000 0.0000
Zr1 0.0000 0.0000 0.1107
Pb1 0.0000 0.0000 0.2291
C1 0.0000 0.0000 0.3852
```

Summary:
Electronic total energy in eV per cell: -94.97
Theoretical density in Mg/m³: 10.2

---

No. 3
# HfZr2PbC

An optimized crystal structure of HfZr2PbC (PBE-GGA, the Alexandria database).

Structure (CIF):
```
data_HfZr2PbC
_chemical_formula_sum 'Hf1 Zr2 Pb1 C1'
_cell_length_a 4.653
_cell_length_b 4.653
_cell_length_c 4.473
_cell_angle_alpha 90.00
_cell_angle_beta 90.00
_cell_angle_gamma 90.00
_symmetry_space_group_name_H-M 'P 4/m m m'
_symmetry_Int_Tables_number 123
_symmetry_space_group_name_Hall '-P 4 2'
loop_
_atom_site_label
_atom_site_fract_x
_atom_site_fract_y
_atom_site_fract_z
Hf1 0.000 0.000 0.000
Zr1 0.000 0.500 0.500
Pb1 0.500 0.500 0.000
C1 0.000 0.000 0.500
```

Summary:
Electronic total energy in eV per cell: -41.80
Theoretical density in Mg/m³: 9.9

---

No. 4
# HfPdC2

An optimized crystal structure of HfPdC2 (PBE-GGA, the Alexandria database).

Structure (CIF):
```
data_HfPdC2
_chemical_formula_sum 'Hf4 Pd4 C8'
_cell_length_a 5.669
_cell_length_b 5.669
_cell_length_c 5.669
_cell_angle_alpha 90.00
_cell_angle_beta 90.00
_cell_angle_gamma 90.00
_symmetry_space_group_name_H-M 'F m -3 m'
_symmetry_Int_Tables_number 225
_symmetry_space_group_name_Hall '-F 4 2 3'
loop_
_atom_site_label
_atom_site_fract_x
_atom_site_fract_y
_atom_site_fract_z
Hf1 0.000 0.000 0.000
Pd1 0.000 0.000 0.500
C1 0.250 0.250 0.250
```

Summary:
Electronic total energy in eV per cell: -120.84
Energy above the most stable polymorph in this dataset in meV/atom: 233
Theoretical density in Mg/m³: 11.3

---

No. 5
# Hf4PdC2

An optimized crystal structure of Hf4PdC2 (PBE-GGA, the Alexandria database).

Structure (CIF):
```
data_Hf4PdC2
_chemical_formula_sum 'Hf16 Pd4 C8'
_cell_length_a 3.331
_cell_length_b 11.207
_cell_length_c 11.935
_cell_angle_alpha 90.00
_cell_angle_beta 90.00
_cell_angle_gamma 90.00
_symmetry_space_group_name_H-M 'C m c m'
_symmetry_Int_Tables_number 63
_symmetry_space_group_name_Hall '-C 2c 2'
loop_
_atom_site_label
_atom_site_fract_x
_atom_site_fract_y
_atom_site_fract_z
Hf1 0.000 0.000 0.000
Hf2 0.000 0.265 0.107
Hf3 0.000 0.426 0.750
Pd1 0.000 0.110 0.750
C1 0.000 0.364 0.559
```

Summary:
Electronic total energy in eV per cell: -274.89
Theoretical density in Mg/m³: 12.6

---

No. 6
# Hf8Pd2C3

An optimized crystal structure of Hf8Pd2C3 (PBE-GGA, the Alexandria database).

Structure (CIF):
```
data_Hf8Pd2C3
_chemical_formula_sum 'Hf16 Pd4 C6'
_cell_length_a 12.836
_cell_length_b 6.596
_cell_length_c 5.922
_cell_angle_alpha 90.00
_cell_angle_beta 107.59
_cell_angle_gamma 90.00
_symmetry_space_group_name_H-M 'C 1 2/m 1'
_symmetry_Int_Tables_number 12
_symmetry_space_group_name_Hall '-C 2y'
loop_
_atom_site_label
_atom_site_fract_x
_atom_site_fract_y
_atom_site_fract_z
Hf1 0.099 0.243 0.389
Hf2 0.102 0.000 0.897
Hf3 0.108 0.500 0.951
Pd1 0.239 0.500 0.679
C1 0.000 0.000 0.500
C2 0.000 0.242 0.000
```

Summary:
Electronic total energy in eV per cell: -247.33
Theoretical density in Mg/m³: 11.7

---

No. 7
# HfPdC2

An optimized crystal structure of HfPdC2 (PBE-GGA, the Alexandria database).

Structure (CIF):
```
data_HfPdC2
_chemical_formula_sum 'Hf4 Pd4 C8'
_cell_length_a 4.662
_cell_length_b 4.662
_cell_length_c 10.556
_cell_angle_alpha 90.00
_cell_angle_beta 90.00
_cell_angle_gamma 90.00
_symmetry_space_group_name_H-M 'I -4 2 d'
_symmetry_Int_Tables_number 122
_symmetry_space_group_name_Hall 'I -4 2bw'
loop_
_atom_site_label
_atom_site_fract_x
_atom_site_fract_y
_atom_site_fract_z
Hf1 0.000 0.000 0.000
Pd1 0.000 0.000 0.500
C1 0.225 0.250 0.625
```

Summary:
Electronic total energy in eV per cell: -124.57
Energy above the most stable polymorph in this dataset in meV/atom: 0
Theoretical density in Mg/m³: 8.9

---

No. 8
# HfPdC

An optimized crystal structure of HfPdC (PBE-GGA, the Alexandria database).

Structure (CIF):
```
data_HfPdC
_chemical_formula_sum 'Hf6 Pd6 C6'
_cell_length_a 3.3955
_cell_length_b 3.3955
_cell_length_c 26.9909
_cell_angle_alpha 90.00
_cell_angle_beta 90.00
_cell_angle_gamma 120.00
_symmetry_space_group_name_H-M 'R -3 m'
_symmetry_Int_Tables_number 166
_symmetry_space_group_name_Hall '-R 3 2"'
loop_
_atom_site_label
_atom_site_fract_x
_atom_site_fract_y
_atom_site_fract_z
Hf1 0.0000 0.0000 0.1151
Pd1 0.0000 0.0000 0.3704
C1 0.0000 0.0000 0.2557
```

Summary:
Electronic total energy in eV per cell: -145.36
Theoretical density in Mg/m³: 11.0

---

No. 9
# Hf6Pd2C

An optimized crystal structure of Hf6Pd2C (PBE-GGA, the Alexandria database).

Structure (CIF):
```
data_Hf6Pd2C
_chemical_formula_sum 'Hf12 Pd4 C2'
_cell_length_a 5.961
_cell_length_b 6.385
_cell_length_c 10.720
_cell_angle_alpha 90.00
_cell_angle_beta 121.92
_cell_angle_gamma 90.00
_symmetry_space_group_name_H-M 'P 1 21/c 1'
_symmetry_Int_Tables_number 14
_symmetry_space_group_name_Hall '-P 2ybc'
loop_
_atom_site_label
_atom_site_fract_x
_atom_site_fract_y
_atom_site_fract_z
Hf1 0.123 0.013 0.242
Hf2 0.231 0.696 0.047
Hf3 0.359 0.193 0.051
Pd1 0.311 0.088 0.755
C1 0.000 0.000 0.000
```

Summary:
Electronic total energy in eV per cell: -166.92
Theoretical density in Mg/m³: 12.4

---

No. 10
# HfSc2PdC

An optimized crystal structure of HfSc2PdC (PBE-GGA, the Alexandria database).

Structure (CIF):
```
data_HfSc2PdC
_chemical_formula_sum 'Hf1 Sc2 Pd1 C1'
_cell_length_a 4.444
_cell_length_b 4.444
_cell_length_c 4.485
_cell_angle_alpha 90.00
_cell_angle_beta 90.00
_cell_angle_gamma 90.00
_symmetry_space_group_name_H-M 'P 4/m m m'
_symmetry_Int_Tables_number 123
_symmetry_space_group_name_Hall '-P 4 2'
loop_
_atom_site_label
_atom_site_fract_x
_atom_site_fract_y
_atom_site_fract_z
Hf1 0.000 0.000 0.000
Sc1 0.000 0.500 0.500
Pd1 0.500 0.500 0.000
C1 0.000 0.000 0.500
```

Summary:
Electronic total energy in eV per cell: -39.62
Theoretical density in Mg/m³: 7.3

---

No. 11
# Hf2TiPdC

An optimized crystal structure of Hf2TiPdC (PBE-GGA, the Alexandria database).

Structure (CIF):
```
data_Hf2TiPdC
_chemical_formula_sum 'Hf2 Ti1 Pd1 C1'
_cell_length_a 4.465
_cell_length_b 4.465
_cell_length_c 4.145
_cell_angle_alpha 90.00
_cell_angle_beta 90.00
_cell_angle_gamma 90.00
_symmetry_space_group_name_H-M 'P 4/m m m'
_symmetry_Int_Tables_number 123
_symmetry_space_group_name_Hall '-P 4 2'
loop_
_atom_site_label
_atom_site_fract_x
_atom_site_fract_y
_atom_site_fract_z
Hf1 0.000 0.500 0.000
Ti1 0.000 0.000 0.500
Pd1 0.500 0.500 0.500
C1 0.000 0.000 0.000
```

Summary:
Electronic total energy in eV per cell: -45.02
Theoretical density in Mg/m³: 10.5

---

Computed calculated formation energy (meV per atom) in order:
30 -55 -364 846 -752 -460 613 48 -459 -517 -560
Computed N(E_F) (states/eV/cell) in order:
4.31 7.59 4.26 16.92 12.92 14.93 8.60 15.79 12.80 7.33 4.87